VASP calculation (PBE) on KInBrCl after structural relaxation.

Lattice parameters (Å, degrees): 4.6391 4.6391 22.7940 90.00 90.00 120.00
Sites, in units of the cell vectors:
K1 0.0000 0.0000 0.0121
K2 0.3333 0.6667 0.6787
K3 0.6667 0.3333 0.3454
Cl1 0.0000 0.0000 0.2705
Cl2 0.3333 0.6667 0.9372
Cl3 0.6667 0.3333 0.6038
Br1 0.0000 0.0000 0.7673
Br2 0.3333 0.6667 0.4340
Br3 0.6667 0.3333 0.1006
In1 0.0000 0.0000 0.5203
In2 0.3333 0.6667 0.1870
In3 0.6667 0.3333 0.8537

Computed properties:
uncorrected energy	-37.4	eV per cell
total magnetization	0.00	Bohr magnetons per cell
relative energy among the computed polymorphs	0.0111	eV per atom
energy relative to the elements, uncorrected	-495	kJ/mol of formula units